Record 1
## CrNi2Rh (PBE-GGA)

Data for a relaxed CrNi2Rh crystal.

abc: 2.5826 2.5826 25.1395
angles: 90.00 90.00 120.00
Space group R-3m (No. 166, hexagonal axes)
Unique sites:
Cr 0.0000 0.0000 0.0000 [3 per cell]
Ni 0.0000 0.0000 0.2539 [6 per cell]
Rh 0.0000 0.0000 0.5000 [3 per cell]

Values from the calculation:
D(E_F): 1.75 states/eV/atom
ΔE_f: 0.1270 eV/atom
Calculated volume: 12.10 Å³/atom

***

Record 2
## LiAl2Ir (PBE-GGA)

Data for a relaxed LiAl2Ir crystal.

abc: 6.0441 6.0441 6.0441
angles: 90.00 90.00 90.00
Space group Fm-3m (No. 225)
Unique sites:
Li 0.0000 0.0000 0.0000 [4 per cell]
Al 0.2500 0.2500 0.2500 [8 per cell]
Ir 0.0000 0.0000 0.5000 [4 per cell]

Values from the calculation:
D(E_F): 0.40 states/eV/atom
ΔE_f: -0.7286 eV/atom
Calculated volume: 13.80 Å³/atom
Relative energy among the computed polymorphs: 0.0000 eV/atom

***

Record 3
## RbNaZrBr6 (PBE-GGA)

Data for a relaxed RbNaZrBr6 crystal.

abc: 7.5021 7.5021 14.5942
angles: 90.00 90.00 120.00
Space group P-31c (No. 163)
Unique sites:
Rb 0.0000 0.0000 0.0000 [2 per cell]
Na 0.3333 0.6667 0.2500 [2 per cell]
Zr 0.3333 0.6667 0.7500 [2 per cell]
Br 0.0346 0.3905 0.6438 [12 per cell]

Values from the calculation:
D(E_F): 0.00 states/eV/atom
Calculated volume: 39.52 Å³/atom
Uncorrected formation energy: -1.529 eV per atom

***

| no. | raw total energy (eV per atom) |
| --- | --- |
| 1 | -7.007 |
| 2 | -5.294 |
| 3 | -3.848 |